a | ## TbScNi2 (GGA-PBE)

Data for a geometry-optimized TbScNi2 structure.

abc: 3.6126 4.1306 5.2733
angles: 90.00 110.13 90.00
Closest atoms and distances in Å follow each position.
Positions (direct):
Tb  0.0000  0.0000  0.0000  7 Ni 2.77-2.85
Sc  0.2797  0.5000  0.5596  7 Ni 2.71-2.93
Ni  0.5753  0.5000  0.1512  2 Ni 2.52, 2 Sc 2.71
Ni  0.7202  0.0000  0.4413  2 Ni 2.52, 1 Tb 2.77, 4 Sc 2.81

Summary:
Total magnetic moment: 0.00 μB per cell

---

b | ## TbScNi2 (GGA-PBE)

Data for a geometry-optimized TbScNi2 structure.

abc: 3.2967 3.2967 6.5034
angles: 90.00 90.00 90.00
Closest atoms and distances in Å follow each position.
Positions (direct):
Tb  0.0000  0.0000  0.0000  8 Ni 2.95, 2 Sc 3.25, 4 Tb 3.30
Sc  0.0000  0.0000  0.5000  8 Ni 2.74
Ni  0.5000  0.5000  0.2775  4 Sc 2.74, 1 Ni 2.89, 4 Tb 2.95
Ni  0.5000  0.5000  0.7225  4 Sc 2.74, 1 Ni 2.89, 4 Tb 2.95

Summary:
Total magnetic moment: 0.00 μB per cell

---

c | ## TbScNi2 (GGA-PBE)

Data for a geometry-optimized TbScNi2 structure.

abc: 4.6501 4.6501 4.6501
angles: 60.00 60.00 60.00
Closest atoms and distances in Å follow each position.
Positions (direct):
Tb  0.0000  0.0000  0.0000  8 Ni 2.85
Sc  0.5000  0.5000  0.5000  8 Ni 2.85
Ni  0.2500  0.2500  0.2500  4 Tb 2.85, 4 Sc 2.85
Ni  0.7500  0.7500  0.7500  4 Tb 2.85, 4 Sc 2.85

Summary:
Total magnetic moment: 0.00 μB per cell

---

It turns out a is the most stable, with the second structure 0.031 eV/atom higher.

---

a | ## ScTcNi2 (GGA-PBE)

Data for a geometry-optimized ScTcNi2 structure.

abc: 4.6098 4.6098 4.8129
angles: 99.16 99.16 34.48
Closest atoms and distances in Å follow each position.
Positions (direct):
Sc  0.0000  0.0000  0.0000  6 Ni 2.72-2.79, 2 Sc 2.73, 4 Tc 2.77
Tc  0.5000  0.5000  0.5000  6 Ni 2.61-2.65, 2 Tc 2.73, 4 Sc 2.77
Ni  0.2435  0.2435  0.7185  4 Ni 2.53-2.73, 3 Tc 2.61-2.65, 3 Sc 2.72-2.79
Ni  0.7565  0.7565  0.2815  4 Ni 2.53-2.73, 3 Tc 2.61-2.65, 3 Sc 2.72-2.79

Summary:
Total magnetic moment: 0.00 μB per cell

---

b | ## ScTcNi2 (GGA-PBE)

Data for a geometry-optimized ScTcNi2 structure.

abc: 8.6237 8.6237 8.6237
angles: 18.65 18.65 18.65
Closest atoms and distances in Å follow each position.
Positions (direct):
Sc  0.0000  0.0000  0.0000  3 Ni 2.67, 6 Sc 2.79, 3 Tc 2.91
Tc  0.7620  0.7620  0.7620  3 Ni 2.55, 6 Tc 2.79
Ni  0.2498  0.2498  0.2498  9 Ni 2.53-2.79, 3 Sc 2.67
Ni  0.5064  0.5064  0.5064  9 Ni 2.53-2.79, 3 Tc 2.55

Summary:
Total magnetic moment: 0.44 μB per cell

---

It turns out a is the most stable, with the second structure 0.183 eV/atom higher.

---

a | ## ScTcNi2 (GGA-PBE)

Data for a geometry-optimized ScTcNi2 structure.

abc: 4.5816 4.5816 4.5816
angles: 129.45 129.45 74.28
Closest atoms and distances in Å follow each position.
Positions (direct):
Sc  0.0000  0.0000  0.0000  8 Ni 2.68, 4 Tc 2.77
Tc  0.5000  0.5000  0.0000  8 Ni 2.68, 4 Sc 2.77
Ni  0.2500  0.7500  0.5000  4 Tc 2.68, 4 Sc 2.68, 4 Ni 2.77
Ni  0.7500  0.2500  0.5000  4 Tc 2.68, 4 Sc 2.68, 4 Ni 2.77

Summary:
Total magnetic moment: 0.99 μB per cell

---

b | ## ScTcNi2 (GGA-PBE)

Data for a geometry-optimized ScTcNi2 structure.

abc: 4.2931 4.2931 4.2931
angles: 60.00 60.00 60.00
Closest atoms and distances in Å follow each position.
Positions (direct):
Sc  0.0000  0.0000  0.0000  4 Ni 2.63, 4 Tc 2.63
Tc  0.2500  0.2500  0.2500  4 Ni 2.63, 4 Sc 2.63
Ni  0.5000  0.5000  0.5000  4 Ni 2.63, 4 Tc 2.63
Ni  0.7500  0.7500  0.7500  4 Sc 2.63, 4 Ni 2.63

Summary:
Total magnetic moment: 2.02 μB per cell

---

c | ## ScTcNi2 (GGA-PBE)

Data for a geometry-optimized ScTcNi2 structure.

abc: 2.9589 3.2404 5.9160
angles: 90.00 90.00 90.00
Closest atoms and distances in Å follow each position.
Positions (direct):
Sc  0.0000  0.0000  0.0000  5 Ni 2.67-2.81, 4 Tc 2.88, 2 Sc 2.96
Tc  0.5000  0.5000  0.6855  5 Ni 2.52-2.53
Ni  0.0000  0.0000  0.4746  4 Tc 2.52, 4 Ni 2.54, 1 Sc 2.81
Ni  0.5000  0.5000  0.2585  1 Tc 2.53, 4 Ni 2.54, 4 Sc 2.67

Summary:
Total magnetic moment: 0.00 μB per cell

---

It turns out a is the most stable, with the second structure 0.008 eV/atom higher.

---

a | ## Sc3TcNi (GGA-PBE)

Data for a geometry-optimized Sc3TcNi structure.

abc: 9.1536 9.1536 4.5641
angles: 90.00 90.00 151.14
Closest atoms and distances in Å follow each position.
Positions (direct):
Sc  0.0726  0.9274  0.7500  2 Tc 2.71, 2 Ni 2.74
Sc  0.2496  0.7504  0.7500  4 Ni 2.80-2.81, 4 Tc 2.83-2.84, 1 Sc 3.12
Sc  0.4253  0.5747  0.7500  2 Tc 2.69, 2 Ni 2.72
Sc  0.5747  0.4253  0.2500  2 Tc 2.69, 2 Ni 2.72
Sc  0.7504  0.2496  0.2500  4 Ni 2.80-2.81, 4 Tc 2.83-2.84, 1 Sc 3.12
Sc  0.9274  0.0726  0.2500  2 Tc 2.71, 2 Ni 2.74
Tc  0.1552  0.8448  0.2500  8 Sc 2.69-2.84
Tc  0.8448  0.1552  0.7500  8 Sc 2.69-2.84
Ni  0.3421  0.6579  0.2500  8 Sc 2.72-2.81
Ni  0.6579  0.3421  0.7500  8 Sc 2.72-2.81

Summary:
Total magnetic moment: 0.00 μB per cell

---

b | ## Sc3TcNi (GGA-PBE)

Data for a geometry-optimized Sc3TcNi structure.

abc: 4.9106 4.9106 4.9106
angles: 90.00 90.00 90.00
Closest atoms and distances in Å follow each position.
Positions (direct):
Sc  0.0000  0.0000  0.5000  2 Tc 2.46
Sc  0.0000  0.5000  0.0000  2 Tc 2.46
Sc  0.5000  0.0000  0.0000  2 Tc 2.46
Tc  0.0000  0.0000  0.0000  6 Sc 2.46
Ni  0.5000  0.5000  0.5000  12 Sc 3.47

Summary:
Total magnetic moment: 0.00 μB per cell

---

c | ## Sc3TcNi (GGA-PBE)

Data for a geometry-optimized Sc3TcNi structure.

abc: 4.7262 4.7262 4.7262
angles: 90.00 90.00 90.00
Closest atoms and distances in Å follow each position.
Positions (direct):
Sc  0.0000  0.0000  0.5000  2 Ni 2.36
Sc  0.0000  0.5000  0.0000  2 Ni 2.36
Sc  0.5000  0.0000  0.0000  2 Ni 2.36
Tc  0.5000  0.5000  0.5000  12 Sc 3.34
Ni  0.0000  0.0000  0.0000  6 Sc 2.36

Summary:
Total magnetic moment: 0.94 μB per cell

---

It turns out a is the most stable, with the second structure 0.647 eV/atom higher.

---

a | ## Sc4TcNi (GGA-PBE)

Data for a geometry-optimized Sc4TcNi structure.

abc: 3.2743 3.2743 11.0089
angles: 90.00 90.00 90.00
Closest atoms and distances in Å follow each position.
Positions (direct):
Sc  0.0000  0.0000  0.1343  4 Ni 2.75, 1 Sc 2.96
Sc  0.0000  0.0000  0.8657  4 Ni 2.75, 1 Sc 2.96
Sc  0.5000  0.5000  0.3626  4 Tc 2.77, 1 Sc 3.02
Sc  0.5000  0.5000  0.6374  4 Tc 2.77, 1 Sc 3.02
Tc  0.0000  0.0000  0.5000  8 Sc 2.77
Ni  0.5000  0.5000  0.0000  8 Sc 2.75

Summary:
Total magnetic moment: 0.00 μB per cell

---

b | ## Sc4TcNi (GGA-PBE)

Data for a geometry-optimized Sc4TcNi structure.

abc: 5.4530 5.4530 5.4530
angles: 60.00 60.00 60.00
Closest atoms and distances in Å follow each position.
Positions (direct):
Sc  0.1246  0.1246  0.1246  6 Sc 2.72-2.73
Sc  0.1246  0.1246  0.6261  6 Sc 2.72-2.73
Sc  0.1246  0.6261  0.1246  6 Sc 2.72-2.73
Sc  0.6261  0.1246  0.1246  6 Sc 2.72-2.73
Tc  0.7500  0.7500  0.7500  12 Sc 3.20, 4 Ni 3.34
Ni  0.5000  0.5000  0.5000  12 Sc 3.20, 4 Tc 3.34

Summary:
Total magnetic moment: 0.00 μB per cell

---

It turns out a is the most stable, with the second structure 0.869 eV/atom higher.

---

a | ## Sc2TcNi (GGA-PBE)

Data for a geometry-optimized Sc2TcNi structure.

abc: 3.2406 3.2406 6.3104
angles: 90.00 90.00 90.00
Closest atoms and distances in Å follow each position.
Positions (direct):
Sc  0.0000  0.0000  0.2500  4 Ni 2.78, 4 Tc 2.78
Sc  0.0000  0.0000  0.7500  4 Ni 2.78, 4 Tc 2.78
Tc  0.5000  0.5000  0.0000  8 Sc 2.78
Ni  0.5000  0.5000  0.5000  8 Sc 2.78

Summary:
Total magnetic moment: 0.00 μB per cell

---

b | ## Sc2TcNi (GGA-PBE)

Data for a geometry-optimized Sc2TcNi structure.

abc: 5.6983 5.6983 5.6983
angles: 104.62 104.62 119.69
Closest atoms and distances in Å follow each position.
Positions (direct):
Sc  0.1045  0.6250  0.9795  2 Ni 2.47, 2 Tc 2.66
Sc  0.3750  0.3545  0.4795  2 Ni 2.47, 2 Tc 2.66
Sc  0.6455  0.1250  0.0205  2 Ni 2.47, 2 Tc 2.66
Sc  0.8750  0.8955  0.5205  2 Ni 2.47, 2 Tc 2.66
Tc  0.2500  0.7500  0.5000  4 Sc 2.66, 2 Ni 2.86
Tc  0.5000  0.5000  0.0000  4 Sc 2.66, 2 Ni 2.86
Ni  0.0000  0.0000  0.0000  4 Sc 2.47
Ni  0.7500  0.2500  0.5000  4 Sc 2.47

Summary:
Total magnetic moment: 0.89 μB per cell

---

It turns out a is the most stable, with the second structure 0.452 eV/atom higher.